No. 1
VASP calculation (GGA-PBE) on an optimized crystal structure of Nd4Ge13.

```
Nd4Ge13
1.0
-0.337 -3.745 -1.364
4.039 -0.079 -0.781
3.950 -8.095 21.247
Nd Ge
4 13
Direct
0.000 0.500 0.316
0.500 0.500 0.839
0.500 0.500 0.151
0.000 0.500 0.680
0.000 0.000 0.195
0.500 0.000 0.725
0.500 0.000 0.263
0.000 0.000 0.794
0.000 0.000 0.466
0.500 0.000 0.941
0.500 0.000 0.050
0.000 0.000 0.579
0.500 0.500 0.461
0.000 0.500 0.941
0.000 0.500 0.049
0.500 0.500 0.575
0.500 0.000 0.379
```

Computed properties:
Density of states at the Fermi level in states/eV/f.u.: 6.1
Symmetry: Pmm2, No. 25
Formation enthalpy at 0 K in meV/atom: -366
Magnetic moment in μB per atom: 0.00
ρ in g/cm³: 6.65


No. 2
VASP calculation (GGA-PBE) on an optimized crystal structure of NdGe.

```
NdGe
1.0
4.467 0.000 -0.003
0.000 6.661 0.000
-2.235 0.000 6.814
Ge Nd
4 4
Direct
0.900 0.052 0.799
0.100 0.948 0.201
0.100 0.552 0.201
0.900 0.448 0.799
0.726 0.750 0.450
0.274 0.250 0.550
0.453 0.750 0.906
0.547 0.250 0.094
```

Computed properties:
Density of states at the Fermi level in states/eV/f.u.: 1.4
Symmetry: Cmcm, No. 63
Formation enthalpy at 0 K in meV/atom: -845
Magnetic moment in μB per atom: 0.00
ρ in g/cm³: 7.11


No. 3
VASP calculation (GGA-PBE) on an optimized crystal structure of Nd5Ge4.

```
Nd5Ge4
1.0
-0.622 -3.319 7.189
5.524 -5.474 -2.049
11.008 9.167 5.184
Nd Ge
20 16
Direct
0.380 0.160 0.115
0.880 0.340 0.385
0.120 0.660 0.885
0.620 0.840 0.615
0.380 0.160 0.385
0.880 0.340 0.115
0.120 0.660 0.615
0.620 0.840 0.885
0.025 0.821 0.397
0.525 0.679 0.103
0.475 0.321 0.603
0.975 0.179 0.897
0.975 0.179 0.603
0.475 0.321 0.897
0.525 0.679 0.397
0.025 0.821 0.103
0.286 0.997 0.750
0.786 0.503 0.750
0.214 0.497 0.250
0.714 0.003 0.250
0.778 0.532 0.545
0.278 0.968 0.955
0.722 0.032 0.455
0.222 0.468 0.045
0.222 0.468 0.455
0.722 0.032 0.045
0.278 0.968 0.545
0.778 0.532 0.955
0.912 0.890 0.750
0.412 0.610 0.750
0.588 0.390 0.250
0.088 0.110 0.250
0.175 0.367 0.750
0.675 0.133 0.750
0.325 0.867 0.250
0.825 0.633 0.250
```

Computed properties:
Density of states at the Fermi level in states/eV/f.u.: 6.4
Energy above the lowest structure with this stoichiometry in eV per formula unit: 0.00
Symmetry: Pnma, No. 62
Formation enthalpy at 0 K in meV/atom: -808
Magnetic moment in μB per atom: 0.00
ρ in g/cm³: 6.91


No. 4
VASP calculation (GGA-PBE) on an optimized crystal structure of Nd3Ge2.

```
Nd3Ge2
1.0
-0.601 1.018 4.332
4.954 -1.278 3.315
3.254 4.890 1.630
Nd Ge
3 2
Direct
0.000 0.000 0.000
0.799 0.701 0.701
0.201 0.299 0.299
0.500 0.300 0.700
0.500 0.700 0.300
```

Computed properties:
Density of states at the Fermi level in states/eV/f.u.: 3.7
Symmetry: Immm, No. 71
Formation enthalpy at 0 K in meV/atom: -692
Magnetic moment in μB per atom: 0.00
ρ in g/cm³: 7.02


No. 5
VASP calculation (GGA-PBE) on an optimized crystal structure of Nd2Ni3Ge4.

```
Nd2Ni3Ge4
1.0
5.614 -0.223 0.000
-2.807 4.867 0.000
-1.404 -2.322 6.023
Nd Ni Ge
2 3 4
Direct
0.638 0.638 0.276
0.362 0.362 0.724
0.500 0.000 0.000
0.000 0.000 0.000
0.000 0.500 0.000
0.022 0.674 0.696
0.674 0.022 0.696
0.978 0.326 0.304
0.326 0.978 0.304
```

Computed properties:
Density of states at the Fermi level in states/eV/f.u.: 5.9
Symmetry: Fmmm, No. 69
Formation enthalpy at 0 K in meV/atom: -503
Magnetic moment in μB per atom: 0.00
ρ in g/cm³: 7.80


No. 6
VASP calculation (GGA-PBE) on an optimized crystal structure of Nd8Ni2Ge.

```
Nd8Ni2Ge
1.0
-1.264 -5.693 -1.320
5.378 -1.324 5.548
-7.058 2.100 2.690
Nd Ni Ge
8 2 1
Direct
0.581 0.339 0.082
0.581 0.082 0.339
0.186 0.383 0.383
0.983 0.223 0.768
0.983 0.768 0.223
0.808 0.641 0.641
0.373 0.921 0.657
0.373 0.657 0.921
0.501 0.701 0.308
0.501 0.308 0.701
0.131 0.011 0.011
```

Computed properties:
Density of states at the Fermi level in states/eV/f.u.: 12.8
Symmetry: Cm, No. 8
Formation enthalpy at 0 K in meV/atom: -146
Magnetic moment in μB per atom: 0.00
ρ in g/cm³: 6.93


What is the formula in the second record?
NdGe


Look up the magnetic moment of the second one.
0.00 μB per atom


Look up the magnetic moment of the fourth one.
0.00 μB per atom